Entry 1:
DFT (PBE-GGA) results for a geometry-optimized YGaCoPd structure.

Computed properties:
Spin magnetization ... 0.9 μB per cell

Cell lengths 4.5642, 4.5642, 4.5642 Å; angles 60.00, 60.00, 60.00 degrees
Site moments in Bohr magnetons follow the coordinates.
Sites, in units of the cell vectors:
Co  0.7500  0.7500  0.7500  0.90
Ga  0.0000  0.0000  0.0000  0.00
Pd  0.2500  0.2500  0.2500  0.09
Y  0.5000  0.5000  0.5000  -0.05


Entry 2:
DFT (PBE-GGA) results for a geometry-optimized ZnGaCoPd structure.

Computed properties:
Spin magnetization ... 0.4 μB per cell

Cell lengths 4.2238, 4.2238, 4.2238 Å; angles 60.00, 60.00, 60.00 degrees
Site moments in Bohr magnetons follow the coordinates.
Sites, in units of the cell vectors:
Co  0.7500  0.7500  0.7500  0.39
Ga  0.0000  0.0000  0.0000  -0.01
Pd  0.2500  0.2500  0.2500  0.04
Zn  0.5000  0.5000  0.5000  -0.01


Entry 3:
DFT (PBE-GGA) results for a geometry-optimized ZnGaCoPd structure.

Computed properties:
Spin magnetization ... 0.8 μB per cell

Cell lengths 4.2673, 4.2673, 4.2673 Å; angles 60.00, 60.00, 60.00 degrees
Sites, in units of the cell vectors:
Co  0.7500  0.7500  0.7500
Ga  0.0000  0.0000  0.0000
Pd  0.5000  0.5000  0.5000
Zn  0.2500  0.2500  0.2500


Entry 4:
DFT (PBE-GGA) results for a geometry-optimized PmGa5Co structure.

Computed properties:
Spin magnetization ... 0.0 μB per cell

Cell lengths 4.2555, 4.2555, 6.9335 Å; angles 90.00, 90.00, 90.00 degrees
Sites, in units of the cell vectors:
Co  0.0000  0.0000  0.5000
Ga  0.5000  0.5000  0.0000
Ga  0.5000  0.0000  0.3143
Ga  0.0000  0.5000  0.3143
Ga  0.5000  0.0000  0.6857
Ga  0.0000  0.5000  0.6857
Pm  0.0000  0.0000  0.0000


Entry 5:
DFT (PBE-GGA) results for a geometry-optimized PmGaCo structure.

Computed properties:
Spin magnetization ... 1.0 μB per cell

Cell lengths 4.6573, 4.6573, 4.6573 Å; angles 60.00, 60.00, 60.00 degrees
Sites, in units of the cell vectors:
Co  0.2500  0.2500  0.2500
Ga  0.7500  0.7500  0.7500
Pm  0.0000  0.0000  0.0000


Entry 6:
DFT (PBE-GGA) results for a geometry-optimized Pm2GaCo2 structure.

Computed properties:
Spin magnetization ... 0.3 μB per cell

Cell lengths 5.4701, 5.4701, 7.6621 Å; angles 102.15, 102.15, 60.35 degrees
Site moments in Bohr magnetons follow the coordinates.
Sites, in units of the cell vectors:
Co  0.9980  0.2903  0.0057  -0.11
Co  0.7097  0.0020  0.4943  -0.10
Co  0.2903  0.9980  0.5057  -0.10
Co  0.0020  0.7097  0.9943  -0.11
Ga  0.8721  0.1279  0.2500  0.00
Ga  0.1279  0.8721  0.7500  0.00
Pm  0.4951  0.7950  0.1453  0.01
Pm  0.2050  0.5049  0.3547  0.01
Pm  0.7950  0.4951  0.6453  0.01
Pm  0.5049  0.2050  0.8547  0.01


Entry 7:
DFT (PBE-GGA) results for a geometry-optimized Pm3Ga4Co4 structure.

Computed properties:
Spin magnetization ... 0.0 μB per cell

Cell lengths 6.3719, 6.3719, 6.3719 Å; angles 109.47, 109.47, 109.47 degrees
Sites, in units of the cell vectors:
Co  0.7649  0.0000  0.0000
Co  0.0000  0.7649  0.0000
Co  0.2351  0.2351  0.2351
Co  0.0000  0.0000  0.7649
Ga  0.3988  0.0000  0.0000
Ga  0.0000  0.3988  0.0000
Ga  0.0000  0.0000  0.3988
Ga  0.6012  0.6012  0.6012
Pm  0.5000  0.5000  0.0000
Pm  0.5000  0.0000  0.5000
Pm  0.0000  0.5000  0.5000


Entry 8:
DFT (PBE-GGA) results for a geometry-optimized PrGa2Co3 structure.

Computed properties:
Spin magnetization ... 2.2 μB per cell

Cell lengths 9.1243, 9.1243, 3.8495 Å; angles 90.00, 90.00, 120.00 degrees
Site moments in Bohr magnetons follow the coordinates.
Sites, in units of the cell vectors:
Co  0.5000  0.0000  0.0000  0.70
Co  0.8181  0.1818  0.0000  0.12
Co  0.3638  0.1819  0.0000  0.14
Co  0.1819  0.3638  0.0000  0.10
Co  0.0000  0.5000  0.0000  0.60
Co  0.5000  0.5000  0.0000  0.66
Co  0.8182  0.6363  0.0000  0.10
Co  0.1818  0.8181  0.0000  0.12
Co  0.6363  0.8182  0.0000  0.14
Ga  0.6832  0.0000  0.5000  -0.01
Ga  0.3167  0.0000  0.5000  -0.01
Ga  0.0000  0.3167  0.5000  -0.02
Ga  0.3168  0.3168  0.5000  -0.02
Ga  0.0000  0.6832  0.5000  -0.02
Ga  0.6833  0.6833  0.5000  -0.02
Pr  0.9998  0.9999  0.0000  -0.04
Pr  0.6667  0.3334  0.5000  -0.04
Pr  0.3334  0.6667  0.5000  -0.04


| no. | calculated total energy (eV per atom) |
| --- | --- |
| 1 | -5.89 |
| 2 | -4.47 |
| 3 | -4.27 |
| 4 | -4.32 |
| 5 | -4.42 |
| 6 | -5.67 |
| 7 | -5.43 |
| 8 | -5.68 |